# Zr2TcHRh | the Alexandria database | GGA-PBE | relaxed
# Mass density, g/cm3: 8.54
# DFT total energy, Ry per atom: -0.598
# DOS(E_F), states/eV/f.u.: 2.89
# M_tot, Bohr magnetons per cell: 0.00
data_Zr2TcHRh
_chemical_formula_sum 'Zr2 Tc1 H1 Rh1'
_space_group_name_H-M_alt 'P 4/m m m'
_space_group_IT_number 123
_space_group_name_Hall '-P 4 2'
_cell_length_a 4.613
_cell_length_b 4.613
_cell_length_c 3.511
_cell_angle_alpha 90.00
_cell_angle_beta 90.00
_cell_angle_gamma 90.00
loop_
_atom_site_label
_atom_site_fract_x
_atom_site_fract_y
_atom_site_fract_z
Zr1 0.000 0.500 0.000
Tc1 0.000 0.000 0.500
H1 0.500 0.500 0.000
Rh1 0.500 0.500 0.500